Compound: CsTl2RuF8
Source: Alexandria
Functional: GGA-PBE
Structure: relaxed

Unit cell a=4.993 b=6.393 c=8.454 alpha=90.05 beta=90.06 gamma=98.27
Sites, in units of the cell vectors:
Cs  0.000  0.000  0.000
Tl  0.500  0.500  0.235
Tl  0.500  0.500  0.765
Ru  0.000  0.000  0.500
F  0.100  0.817  0.338
F  0.101  0.817  0.662
F  0.347  0.165  0.500
F  0.454  0.721  0.000
F  0.546  0.279  0.000
F  0.653  0.835  0.500
F  0.899  0.183  0.338
F  0.900  0.183  0.662

## Properties
raw total energy: -53.6 eV for the cell shown
crystal system: triclinic
energy relative to the elements, uncorrected: -1.985 eV/atom